Record 1
This record from Alexandria via LeMat-Bulk describes a relaxed structure of Ta2CdTc. The functional is PBE-GGA.

The structure in CIF format:
```
data_Ta2CdTc
_cell_length_a 4.1684
_cell_length_b 4.1684
_cell_length_c 4.0022
_cell_angle_alpha 90.00
_cell_angle_beta 90.00
_cell_angle_gamma 90.00
_symmetry_space_group_name_H-M 'P 4/m m m'
_symmetry_Int_Tables_number 123
_symmetry_space_group_name_Hall '-P 4 2'
loop_
_atom_site_label
_atom_site_fract_x
_atom_site_fract_y
_atom_site_fract_z
Ta1 0.0000 0.5000 0.0000
Cd1 0.0000 0.0000 0.5000
Tc1 0.5000 0.5000 0.5000
```

Results
E_tot ... -8.554 eV per atom
M_tot ... 0.00 μB/f.u.
ΔH_f (0 K) ... 0.77 eV per formula unit


Record 2
This record from Alexandria via LeMat-Bulk describes a relaxed structure of TaCd2Tc. The functional is PBE-GGA.

The structure in CIF format:
```
data_TaCd2Tc
_cell_length_a 3.3064
_cell_length_b 4.8919
_cell_length_c 9.3368
_cell_angle_alpha 90.00
_cell_angle_beta 90.00
_cell_angle_gamma 90.00
_symmetry_space_group_name_H-M 'I m m 2'
_symmetry_Int_Tables_number 44
loop_
_symmetry_equiv_pos_as_xyz
'x,y,z'
'-x,-y,z'
'-x,y,z'
'x,-y,z'
'x+1/2,y+1/2,z+1/2'
'-x+1/2,-y+1/2,z+1/2'
'-x+1/2,y+1/2,z+1/2'
'x+1/2,-y+1/2,z+1/2'
loop_
_atom_site_label
_atom_site_fract_x
_atom_site_fract_y
_atom_site_fract_z
Ta1 0.0000 0.0000 0.0000
Cd1 0.0000 0.0000 0.5394
Cd2 0.0000 0.5000 0.7759
Tc1 0.0000 0.5000 0.3019
```

Results
E_tot ... -5.754 eV per atom
M_tot ... 0.00 μB/f.u.
ΔH_f (0 K) ... 1.03 eV per formula unit
Energy relative to the lowest polymorph listed for this composition ... 162 meV per atom


Record 3
This record from Alexandria via LeMat-Bulk describes a relaxed structure of TaCdTc3. The functional is PBE-GGA.

The structure in CIF format:
```
data_TaCdTc3
_cell_length_a 4.7082
_cell_length_b 4.7082
_cell_length_c 4.7082
_cell_angle_alpha 90.00
_cell_angle_beta 90.00
_cell_angle_gamma 90.00
_symmetry_space_group_name_H-M 'P m -3 m'
_symmetry_Int_Tables_number 221
_symmetry_space_group_name_Hall '-P 4 2 3'
loop_
_atom_site_label
_atom_site_fract_x
_atom_site_fract_y
_atom_site_fract_z
Ta1 0.0000 0.0000 0.0000
Cd1 0.5000 0.5000 0.5000
Tc1 0.0000 0.5000 0.5000
```

Results
E_tot ... -6.286 eV per atom
M_tot ... 0.11 μB/f.u.
ΔH_f (0 K) ... 12.44 eV per formula unit
Energy relative to the lowest polymorph listed for this composition ... 928 meV per atom